First-principles (GGA-PBEsol) data for a relaxed structure of Co2ReIr, as listed in Alexandria via LeMat-Bulk.

```
4
Lattice="-0.654 -2.470 0.904 4.214 -1.257 -0.386 -1.033 3.135 3.758" Properties=species:S:1:pos:R:3 pbc="T T T"
Co 0.380 0.648 2.045
Co 2.147 -1.239 2.231
Ir -0.327 -1.235 0.452
Re 2.107 -0.628 -0.193
```

## Properties
The calculation puts the formation enthalpy at 0 K at 323 meV per atom.